No. 1
SrBi3Br3O4 after structural relaxation. Source: Alexandria, functional GGA-PBEsol.

space group: I4mm
formation energy from raw total energies: -1589 kJ/mol of formula units

The structure in extended XYZ format:
```
11
Lattice="-1.980 1.980 14.248 1.980 -1.980 14.248 1.980 1.980 -14.248" Properties=species:S:1:pos:R:3 pbc="T T T"
Sr 0.000 0.000 0.000
Bi 0.000 0.000 9.072
Bi 0.000 0.000 16.697
Bi 0.000 0.000 20.845
Br 0.000 0.000 4.929
Br 0.000 0.000 12.701
Br 0.000 0.000 24.662
O 1.980 0.000 1.471
O 1.980 0.000 7.770
O 0.000 1.980 1.471
O 0.000 1.980 7.770
```

No. 2
SrPBr2 after structural relaxation. Source: Alexandria, functional GGA-PBEsol.

space group: Pmmm
formation energy from raw total energies: -292 kJ/mol of formula units

The structure in extended XYZ format:
```
4
Lattice="3.856 0.000 0.000 0.000 4.431 0.000 0.000 0.000 5.876" Properties=species:S:1:pos:R:3 pbc="T T T"
Sr 0.000 0.000 0.000
P 1.928 0.000 2.938
Br 0.000 2.216 2.938
Br 1.928 2.216 0.000
```

No. 3
ScRe2Ir after structural relaxation. Source: Alexandria, functional GGA-PBEsol.

space group: Pm
energy of formation from the pure elements: -0.072 eV per atom

The structure in extended XYZ format:
```
4
Lattice="2.739 0.000 0.000 0.000 4.271 0.000 -1.260 0.000 5.215" Properties=species:S:1:pos:R:3 pbc="T T T"
Sc 0.000 0.000 0.000
Re -0.474 2.136 3.787
Re 0.503 0.000 2.695
Ir 1.837 2.136 1.133
```

No. 4
Ba2CaSi after structural relaxation. Source: Alexandria, functional GGA-PBEsol.

space group: F-43m
formation energy from raw total energies: 30 kJ/mol of formula units

The structure in extended XYZ format:
```
4
Lattice="0.000 4.010 4.010 4.010 0.000 4.010 4.010 4.010 0.000" Properties=species:S:1:pos:R:3 pbc="T T T"
Ba 0.000 0.000 0.000
Ba 2.005 2.005 2.005
Ca 6.015 6.015 6.015
Si 4.010 4.010 4.010
```

No. 5
ScCd2Si after structural relaxation. Source: Alexandria, functional GGA-PBEsol.

space group: Imm2
formation energy from raw total energies: -43 kJ/mol of formula units

The structure in extended XYZ format:
```
4
Lattice="-2.068 2.135 4.351 2.068 -2.135 4.351 2.068 2.135 -4.351" Properties=species:S:1:pos:R:3 pbc="T T T"
Sc 0.000 0.000 0.000
Cd 2.068 0.000 2.227
Cd 0.000 0.000 4.484
Si 0.000 2.135 2.238
```

No. 6
Ta2BeCo after structural relaxation. Source: Alexandria, functional GGA-PBEsol.

space group: R-3m
energy of formation from the pure elements: 0.282 eV per atom

The structure in extended XYZ format:
```
4
Lattice="1.399 0.808 8.361 -1.399 0.808 8.361 0.000 -1.615 8.361" Properties=species:S:1:pos:R:3 pbc="T T T"
Ta 0.000 0.000 6.247
Ta 0.000 0.000 18.836
Be 0.000 0.000 0.000
Co 0.000 0.000 12.542
```

No. 7
Ba2LiAu after structural relaxation. Source: Alexandria, functional GGA-PBEsol.

space group: I-42d
energy of formation from the pure elements: -0.090 eV per atom

The structure in extended XYZ format:
```
8
Lattice="-4.548 4.548 3.813 4.548 -4.548 3.813 4.548 4.548 -3.813" Properties=species:S:1:pos:R:3 pbc="T T T"
Ba 6.822 1.917 -0.953
Ba 1.917 2.274 0.953
Ba -2.274 2.631 2.860
Ba 2.631 2.274 4.766
Li 4.548 0.000 1.906
Li 0.000 0.000 3.813
Au 0.000 0.000 0.000
Au 0.000 4.548 1.906
```

No. 8
InTe2W after structural relaxation. Source: Alexandria, functional GGA-PBEsol.

space group: Amm2
formation energy from raw total energies: 124 kJ/mol of formula units

The structure in extended XYZ format:
```
4
Lattice="3.184 0.000 0.000 0.000 2.316 7.275 0.000 -2.316 7.275" Properties=species:S:1:pos:R:3 pbc="T T T"
In 0.000 0.000 0.000
Te 0.000 0.000 9.754
Te 1.592 0.000 4.932
W 1.592 0.000 7.625
```

No. 9
Ba2LiNb after structural relaxation. Source: Alexandria, functional GGA-PBEsol.

space group: Fm-3m
energy of formation from the pure elements: 0.791 eV per atom

The structure in extended XYZ format:
```
4
Lattice="0.000 4.134 4.134 4.134 0.000 4.134 4.134 4.134 0.000" Properties=species:S:1:pos:R:3 pbc="T T T"
Ba 2.067 2.067 2.067
Ba 6.202 6.202 6.202
Li 0.000 0.000 0.000
Nb 4.134 4.134 4.134
```

No. 10
PtCSe2N after structural relaxation. Source: Alexandria, functional GGA-PBEsol.

space group: P4/mmm
formation energy from raw total energies: 896 kJ/mol of formula units

The structure in extended XYZ format:
```
5
Lattice="5.068 0.000 0.000 0.000 5.068 0.000 0.000 0.000 3.588" Properties=species:S:1:pos:R:3 pbc="T T T"
Pt 0.000 0.000 0.000
C 2.534 2.534 1.794
Se 0.000 2.534 0.000
Se 2.534 0.000 0.000
N 0.000 0.000 1.794
```

No. 11
TiNbBi3 after structural relaxation. Source: Alexandria, functional GGA-PBEsol.

space group: Pm-3m
energy of formation from the pure elements: 0.899 eV per atom

The structure in extended XYZ format:
```
5
Lattice="5.416 0.000 0.000 0.000 5.416 0.000 0.000 0.000 5.416" Properties=species:S:1:pos:R:3 pbc="T T T"
Ti 0.000 0.000 0.000
Nb 2.708 2.708 2.708
Bi 0.000 2.708 2.708
Bi 2.708 0.000 2.708
Bi 2.708 2.708 0.000
```

No. 12
CaLaBr2 after structural relaxation. Source: Alexandria, functional GGA-PBEsol.

space group: Imm2
formation energy from raw total energies: -480 kJ/mol of formula units

The structure in extended XYZ format:
```
4
Lattice="-1.977 2.009 6.874 1.977 -2.009 6.874 1.977 2.009 -6.874" Properties=species:S:1:pos:R:3 pbc="T T T"
Ca 0.000 0.000 0.000
La 1.977 0.000 3.507
Br 0.000 0.000 5.880
Br 0.000 2.009 2.199
```